VASP calculation (PBE-GGA) on a relaxed CaAcPb crystal.

Unit cell a=4.3417 b=5.4064 c=5.4064 alpha=120.00 beta=90.00 gamma=90.00
With the nearest neighbours (Å) after each atom.
Atoms (fractional coordinates):
Pb  0.5009  0.6667  0.3333  3 Ca 3.12
Ac  0.9999  0.0000  0.0000  6 Pb 3.80, 6 Ca 3.80
Ca  0.4992  0.3333  0.6667  3 Pb 3.12

Properties
Its space group is P3m1. The raw total energy is -10.800 eV/cell.